# Ac2TbGa | the Alexandria database | PBE | relaxed
data_Ac2TbGa
_cell_length_a 3.9297
_cell_length_b 3.9297
_cell_length_c 8.9755
_cell_angle_alpha 90.00
_cell_angle_beta 90.00
_cell_angle_gamma 90.00
_space_group_name_H-M_alt 'P 4/m m m'
_space_group_IT_number 123
_space_group_name_Hall '-P 4 2'
loop_
_atom_site_label
_atom_site_fract_x
_atom_site_fract_y
_atom_site_fract_z
Ac1 0.0000 0.0000 0.2102
Tb1 0.5000 0.5000 0.5000
Ga1 0.5000 0.5000 0.0000
# E_tot: -4.133 eV per atom
# Energy relative to the lowest polymorph listed for this composition: 0.00 eV per formula unit